VASP calculation (GGA-PBE) on an optimized crystal structure of Te2IrF.

Structure (POSCAR):
```
Te2IrF
1.0
-4.3795 -0.6171 5.3241
1.8432 -2.2473 1.2557
3.8311 5.1438 3.5823
Te F Ir
4 2 2
direct
0.7510 0.5000 0.7968
0.2805 0.0000 0.2866
0.2805 0.5000 0.7866
0.7510 0.0000 0.2968
0.0091 0.5000 0.4760
0.0091 0.0000 0.9760
0.5143 0.5000 0.0817
0.5143 0.0000 0.5817
```

Calculated total energy in eV per cell: -38.654
Formation energy without anion corrections in meV/atom: -578
Magnetic moment in μB/f.u.: 0.00